Compound: Co2C
Source: Alexandria
Functional: PBE
Structure: relaxed

The structure belongs to space group P6_3/mmc (No. 194); the cell edges are 2.6166, 2.6166 and 9.1144 Å and the angles 90.00°, 90.00° and 120.00°. The distinct sites, in fractional coordinates, are Co at (0.3333, 0.6667, 0.1156) and C at (0.0000, 0.0000, 0.2500).

Its volume is 54.0 Å³/cell. The total energy is -45.1 eV for the cell shown. The formation energy comes out at 0.2928 eV per atom.